DFT (PBE-GGA) results for a geometry-optimized Li3YV structure.

Unit cell a=4.842 b=4.842 c=4.842 alpha=90.00 beta=90.00 gamma=90.00
Fractional positions:
Li1 0.000 0.000 0.500
Li2 0.000 0.500 0.000
Li3 0.500 0.000 0.000
Y1 0.500 0.500 0.500
V1 0.000 0.000 0.000

Calculated values
ρ: 2.35 g/cm3
DOS at the Fermi energy: 4.9 states/eV/f.u.
Space group: No. 221
ΔH_f (0 K): 0.746 eV per atom